Record 1
Tm3Mg4Pd4 | GGA-PBE | relaxed

abc: 8.705 8.705 8.705
angles: 154.75 124.48 61.93
Positions (direct):
Tm: 0.000 0.000 0.000
Tm: 0.388 0.888 0.500
Tm: 0.612 0.112 0.500
Mg: 0.019 0.329 0.690
Mg: 0.362 0.671 0.690
Mg: 0.638 0.329 0.310
Mg: 0.981 0.671 0.310
Pd: 0.243 0.243 0.000
Pd: 0.302 0.500 0.802
Pd: 0.698 0.500 0.198
Pd: 0.757 0.757 0.000

Uncorrected energy in eV/atom: -4.344
Formation energy from the elements in eV per atom: -0.66
Theoretical density in g/cm3: 7.42
Symmetry: Immm

=====

Record 2
Tm4MgPd2 | GGA-PBE | relaxed

abc: 9.529 9.529 9.529
angles: 29.27 29.27 29.27
Positions (direct):
Tm: 0.111 0.111 0.111
Tm: 0.296 0.296 0.296
Tm: 0.704 0.704 0.704
Tm: 0.889 0.889 0.889
Mg: 0.500 0.500 0.500
Pd: 0.402 0.402 0.402
Pd: 0.598 0.598 0.598

Uncorrected energy in eV/atom: -4.666
Formation energy from the elements in eV per atom: -0.40
Theoretical density in g/cm3: 8.28
Symmetry: R-3m

=====

Record 3
Tm2MgPd | GGA-PBE | relaxed

abc: 7.162 7.162 7.162
angles: 90.00 90.00 90.00
Positions (direct):
Tm: 0.250 0.250 0.250
Tm: 0.250 0.250 0.750
Tm: 0.250 0.750 0.250
Tm: 0.250 0.750 0.750
Tm: 0.750 0.250 0.250
Tm: 0.750 0.250 0.750
Tm: 0.750 0.750 0.250
Tm: 0.750 0.750 0.750
Mg: 0.000 0.000 0.000
Mg: 0.000 0.500 0.500
Mg: 0.500 0.000 0.500
Mg: 0.500 0.500 0.000
Pd: 0.000 0.000 0.500
Pd: 0.000 0.500 0.000
Pd: 0.500 0.000 0.000
Pd: 0.500 0.500 0.500

Uncorrected energy in eV/atom: -4.354
Formation energy from the elements in eV per atom: -0.42
Theoretical density in g/cm3: 8.47
Symmetry: Fm-3m
Energy relative to the lowest polymorph listed for this composition in meV/atom: 81

=====

Record 4
YTm2MgPd4 | GGA-PBE | relaxed

abc: 8.398 8.398 8.398
angles: 33.43 33.43 33.43
Positions (direct):
Y: 0.000 0.000 0.000
Tm: 0.245 0.245 0.245
Tm: 0.755 0.755 0.755
Mg: 0.500 0.500 0.500
Pd: 0.125 0.125 0.125
Pd: 0.377 0.377 0.377
Pd: 0.623 0.623 0.623
Pd: 0.875 0.875 0.875

Uncorrected energy in eV/atom: -5.587
Formation energy from the elements in eV per atom: -0.87
Theoretical density in g/cm3: 9.10
Symmetry: R-3m